Entry from Alexandria: an optimized crystal structure of FeW2Se (PBE-GGA).

a b c (Å): 5.155 5.155 5.155
angles (deg): 144.94 129.04 63.36
Fractional coordinates of all 4 atoms:
1 Fe 0.000 0.000 0.000
2 W 0.257 0.757 0.500
3 W 0.743 0.243 0.500
4 Se 0.500 0.500 0.000

Formation energy without anion corrections ... 0.511 eV/atom
Magnetization ... 1.53 μB/cell

***

Entry from Alexandria: an optimized crystal structure of FeWSe2 (PBE-GGA).

a b c (Å): 5.315 5.315 5.315
angles (deg): 138.91 138.91 59.51
Fractional coordinates of all 4 atoms:
1 Fe 0.000 0.000 0.000
2 W 0.750 0.250 0.500
3 Se 0.250 0.750 0.500
4 Se 0.500 0.500 0.000

Formation energy without anion corrections ... 0.680 eV/atom
Magnetization ... 1.52 μB/cell

***

Entry from Alexandria: an optimized crystal structure of Y2FeSe (PBE-GGA).

a b c (Å): 6.343 6.343 6.343
angles (deg): 147.22 140.51 52.23
Fractional coordinates of all 4 atoms:
1 Y 0.000 0.000 0.000
2 Y 0.732 0.232 0.500
3 Fe 0.248 0.748 0.500
4 Se 0.414 0.414 0.000

Formation energy without anion corrections ... -0.496 eV/atom
Magnetization ... 0.95 μB/cell

***

Entry from Alexandria: an optimized crystal structure of Y2FeSe (PBE-GGA).

a b c (Å): 3.830 3.830 7.714
angles (deg): 104.42 104.42 60.13
Fractional coordinates of all 4 atoms:
1 Y 0.247 0.247 0.241
2 Y 0.753 0.753 0.759
3 Fe 0.500 0.500 0.000
4 Se 0.000 0.000 0.500

Formation energy without anion corrections ... -0.634 eV/atom
Magnetization ... 1.13 μB/cell

***

For each record above, in turn, the calculated uncorrected energy values are -8.952, -6.416, -6.715, -6.853 eV per atom.